# 1
Density functional theory data (PBE) for crystalline POsI2N at its relaxed geometry.

```
POsI2N
1.0
5.360 0.000 0.000
0.000 5.360 0.000
0.000 0.000 3.270
I P Os N
2 1 1 1
direct
0.000 0.500 0.000
0.500 0.000 0.000
0.000 0.000 0.000
0.500 0.500 0.500
0.000 0.000 0.500
```

Results
Electronic total energy (eV per atom): -4.20
Crystal system: tetragonal
Space-group type: P4/mmm (123)
Distance to the lowest polymorph of the same formula (eV per atom): 0.533

# 2
Density functional theory data (PBE) for crystalline POsI2N at its relaxed geometry.

```
POsI2N
1.0
5.495 0.000 0.000
0.000 5.495 0.000
0.000 0.000 3.720
I P Os N
2 1 1 1
direct
0.000 0.500 0.000
0.500 0.000 0.000
0.500 0.500 0.500
0.000 0.000 0.000
0.000 0.000 0.500
```

Results
Electronic total energy (eV per atom): -4.74
Crystal system: tetragonal
Space-group type: P4/mmm (123)
Distance to the lowest polymorph of the same formula (eV per atom): 0.000

# 3
Density functional theory data (PBE) for crystalline OsPbIN2 at its relaxed geometry.

```
OsPbIN2
1.0
-3.268 -1.765 -2.139
1.116 -3.863 1.482
-3.586 0.810 4.810
Pb I Os N
1 1 1 2
direct
0.000 0.000 0.000
0.000 0.000 0.500
0.500 0.500 0.500
0.000 0.500 0.000
0.500 0.000 0.000
```

Results
Electronic total energy (eV per atom): -4.03
Crystal system: tetragonal
Space-group type: P4/mmm (123)

# 4
Density functional theory data (PBE) for crystalline OsPdI2N at its relaxed geometry.

```
OsPdI2N
1.0
-1.688 -4.873 -1.863
0.955 -2.214 4.925
-3.409 0.792 1.017
I Os Pd N
2 1 1 1
direct
0.000 0.500 0.000
0.500 0.000 0.000
0.500 0.500 0.500
0.000 0.000 0.000
0.000 0.000 0.500
```

Results
Electronic total energy (eV per atom): -3.88
Crystal system: tetragonal
Space-group type: P4/mmm (123)
Distance to the lowest polymorph of the same formula (eV per atom): 1.057

Summary of raw formation energy in eV/atom
1.41; 0.88; 2.59; 1.69
(order as listed above)